First-principles (GGA+U) data for a relaxed VAu2ClF crystal, as listed in the Alexandria database.

As for the density of states at the Fermi level: 5.325 states/eV/cell. As for the total energy: -3.427 eV/atom.

a = 5.244 Å, b = 3.826 Å, c = 5.244 Å
α = 90.00°, β = 90.00°, γ = 90.00°
Site moments in Bohr magnetons follow the coordinates.
Element x y z (fractional)
F 0.000 0.500 0.000  -0.04
Cl 0.500 0.500 0.500  0.01
Au 0.000 0.000 0.500  0.01
Au 0.500 0.000 0.000  0.07
V 0.000 0.000 0.000  0.90